A relaxed LiCu4As3 crystal, computed with GGA-PBE.

a = 4.0635 Å, b = 4.0635 Å, c = 8.0112 Å
α = 90.00°, β = 90.00°, γ = 90.00°
Positions (direct):
As  0.0000  0.0000  0.0000
As  0.5000  0.5000  0.6519
As  0.5000  0.5000  0.3481
Li  0.0000  0.0000  0.5000
Cu  0.0000  0.5000  0.8175
Cu  0.5000  0.0000  0.8175
Cu  0.0000  0.5000  0.1825
Cu  0.5000  0.0000  0.1825

Properties
* SG: No. 123
* energy of formation from the pure elements: -99 meV per atom
* Fermi-level density of states: 3.12 states/eV/cell